Compound: Tb6Nd2SmSc3
Source: Alexandria via LeMat-Bulk
Functional: PBE-GGA
Structure: relaxed

```
Tb6Nd2SmSc3
1.0
3.0543 -5.2904 0.0000
3.0543 5.2904 0.0000
-2.0365 0.0000 11.3919
Tb Nd Sm Sc
6 2 1 3
Direct
0.0877 0.4208 0.7623
0.2454 0.2454 0.2377
0.4208 0.0877 0.7623
0.5792 0.9123 0.2377
0.7546 0.7546 0.7623
0.9123 0.5792 0.2377
0.3333 0.6667 0.5000
0.6667 0.3333 0.5000
0.0000 0.0000 0.5000
0.1666 0.8334 0.0000
0.5000 0.5000 0.0000
0.8334 0.1666 0.0000
```

Mass density: 6889 kg/m3
E_tot: -5.0382 eV per atom
Total magnetic moment: 0.00 Bohr magnetons per cell
DFT formation energy: 0.048 eV per atom
D(E_F): 17.25 states/eV per cell
Symmetry: No. 12

Compound: BaCoSN2
Source: Alexandria via LeMat-Bulk
Functional: PBE-GGA
Structure: relaxed

```
BaCoSN2
1.0
4.1023 0.0000 0.0000
0.0000 4.1023 0.0000
0.0000 0.0000 4.7635
Ba Co S N
1 1 1 2
Direct
0.0000 0.0000 0.0000
0.5000 0.5000 0.5000
0.5000 0.5000 0.0000
0.0000 0.5000 0.5000
0.5000 0.0000 0.5000
```

Mass density: 5310 kg/m3
ΔE_f (raw): 339 meV/atom
E_tot: -5.6222 eV per atom
Total magnetic moment: 3.95 Bohr magnetons per cell
D(E_F): 2.97 states/eV per cell
ΔE to the lowest computed polymorph: 0.0 meV/atom
Symmetry: No. 123